# 1
Below is a relaxed structure of AlCu2Ni, with properties calculated at the PBE-GGA level.

a = 4.254 Å, b = 2.596 Å, c = 4.452 Å
α = 84.77°, β = 90.00°, γ = 90.00°
Atoms (fractional coordinates):
Cu (0.000, 0.003, 0.004)
Ni (0.500, 0.250, 0.250)
Al (0.500, 0.750, 0.750)
Cu (0.000, 0.497, 0.496)

## Properties
* raw total energy: -18.4 eV per cell
* space group: No. 10

---

# 2
Below is a relaxed structure of Tl2ReRu, with properties calculated at the PBE-GGA level.

a = 3.022 Å, b = 3.022 Å, c = 8.962 Å
α = 90.00°, β = 90.00°, γ = 89.99°
Atoms (fractional coordinates):
Re (0.000, 0.000, 0.547)
Tl (0.000, 0.000, 0.957)
Tl (0.500, 0.500, 0.290)
Ru (0.500, 0.500, 0.706)

## Properties
* distance to the lowest polymorph of the same formula: 32 meV/atom
* space group: No. 99

---

# 3
Below is a relaxed structure of LiDyGe2Pd2, with properties calculated at the PBE-GGA level.

a = 4.295 Å, b = 4.295 Å, c = 6.582 Å
α = 90.00°, β = 90.00°, γ = 120.00°
Atoms (fractional coordinates):
Li (0.000, 0.000, 0.500)
Ge (0.667, 0.333, 0.733)
Pd (0.333, 0.667, 0.661)
Pd (0.667, 0.333, 0.339)
Ge (0.333, 0.667, 0.267)
Dy (0.000, 0.000, 0.000)

## Properties
* raw total energy: -30.7 eV per cell
* space group: No. 164

---

# 4
Below is a relaxed structure of Th2PaBi, with properties calculated at the PBE-GGA level.

a = 4.088 Å, b = 4.088 Å, c = 7.161 Å
α = 90.00°, β = 90.00°, γ = 90.00°
Atoms (fractional coordinates):
Pa (0.500, 0.500, 0.000)
Bi (0.500, 0.500, 0.500)
Th (0.000, 0.000, 0.757)
Th (0.000, 0.000, 0.243)

## Properties
* distance to the lowest polymorph of the same formula: 28 meV/atom
* space group: No. 123

---

# 5
Below is a relaxed structure of ZrSb2Os, with properties calculated at the PBE-GGA level.

a = 4.447 Å, b = 4.447 Å, c = 6.347 Å
α = 79.72°, β = 79.72°, γ = 42.77°
Atoms (fractional coordinates):
Sb (0.994, 0.994, 0.034)
Sb (0.506, 0.506, 0.466)
Os (0.250, 0.250, 0.250)
Zr (0.750, 0.750, 0.750)

## Properties
* distance to the lowest polymorph of the same formula: 280 meV/atom
* raw formation energy: 0.083 eV per atom
* space group: No. 12

---

# 6
Below is a relaxed structure of Na2LaIO6, with properties calculated at the PBE-GGA level.

a = 5.845 Å, b = 5.845 Å, c = 5.845 Å
α = 60.34°, β = 60.34°, γ = 60.34°
Atoms (fractional coordinates):
La (0.500, 0.500, 0.500)
O (0.685, 0.875, 0.207)
I (0.000, 0.000, 0.000)
O (0.793, 0.315, 0.125)
O (0.125, 0.793, 0.315)
O (0.875, 0.207, 0.685)
Na (0.234, 0.234, 0.234)
O (0.207, 0.685, 0.875)
Na (0.766, 0.766, 0.766)
O (0.315, 0.125, 0.793)

## Properties
* raw formation energy: -1.641 eV per atom
* space group: No. 148